# AcScRu4

A relaxed AcScRu4 crystal (PBE, Alexandria via LeMat-Bulk).

## Properties
Space group ... F-43m (216)
DOS(E_F) ... 8.5 states/eV per cell
ΔH_f (0 K) ... -0.0465 eV per atom
E_tot ... -47.8 eV/f.u.

a = 5.394 Å, b = 5.394 Å, c = 5.394 Å
α = 60.00°, β = 60.00°, γ = 60.00°
Fractional coordinates of all 6 atoms:
Ac 0.000 0.000 0.000
Sc 0.250 0.250 0.250
Ru 0.128 0.624 0.624
Ru 0.624 0.128 0.624
Ru 0.624 0.624 0.128
Ru 0.624 0.624 0.624

---

# SrPuCd17

A relaxed SrPuCd17 crystal (PBE, Alexandria via LeMat-Bulk).

## Properties
Space group ... R3m (160)
DOS(E_F) ... 19.6 states/eV per cell
ΔH_f (0 K) ... -0.0997 eV per atom
E_tot ... -33.5 eV/f.u.

a = 7.749 Å, b = 7.749 Å, c = 7.749 Å
α = 82.18°, β = 82.18°, γ = 82.18°
Fractional coordinates of all 19 atoms:
Sr 0.000 0.000 0.000
Pu 0.334 0.334 0.334
Cd 0.036 0.036 0.473
Cd 0.036 0.473 0.036
Cd 0.148 0.678 0.678
Cd 0.315 0.315 0.797
Cd 0.315 0.797 0.315
Cd 0.366 0.662 0.965
Cd 0.366 0.965 0.662
Cd 0.473 0.036 0.036
Cd 0.559 0.559 0.559
Cd 0.662 0.366 0.965
Cd 0.662 0.965 0.366
Cd 0.678 0.148 0.678
Cd 0.678 0.678 0.148
Cd 0.758 0.758 0.758
Cd 0.797 0.315 0.315
Cd 0.965 0.366 0.662
Cd 0.965 0.662 0.366

---

# CaFe2Re

A relaxed CaFe2Re crystal (PBE, Alexandria via LeMat-Bulk).

## Properties
Space group ... Pmmm (47)
DOS(E_F) ... 4.6 states/eV per cell
ΔH_f (0 K) ... 0.8690 eV per atom
E_tot ... -27.9 eV/f.u.

a = 2.782 Å, b = 4.596 Å, c = 4.923 Å
α = 90.00°, β = 90.00°, γ = 90.00°
Fractional coordinates of all 4 atoms:
Ca 0.000 0.000 0.000
Fe 0.000 0.500 0.500
Fe 0.500 0.500 0.000
Re 0.500 0.000 0.500

---

# SnPd2Cl

A relaxed SnPd2Cl crystal (PBE, Alexandria via LeMat-Bulk).

## Properties
Space group ... I-42d (122)
DOS(E_F) ... 5.1 states/eV per cell
E_tot ... -16.7 eV/f.u.
ΔE_f (raw) ... -0.13 eV per atom
ΔE to the lowest computed polymorph ... 0.0509 eV/atom

a = 5.940 Å, b = 5.940 Å, c = 5.940 Å
α = 104.42°, β = 104.42°, γ = 120.13°
Fractional coordinates of all 8 atoms:
Sn 0.000 0.000 0.000
Sn 0.750 0.250 0.500
Pd 0.122 0.625 0.997
Pd 0.375 0.372 0.497
Pd 0.628 0.125 0.003
Pd 0.875 0.878 0.503
Cl 0.250 0.750 0.500
Cl 0.500 0.500 0.000

---

# Sr2GeSeN

A relaxed Sr2GeSeN crystal (PBE, Alexandria via LeMat-Bulk).

## Properties
Space group ... P4/mmm (123)
DOS(E_F) ... 1.2 states/eV per cell
E_tot ... -21.6 eV/f.u.
ΔE_f (raw) ... -0.35 eV per atom

a = 5.861 Å, b = 5.861 Å, c = 3.910 Å
α = 90.00°, β = 90.00°, γ = 90.00°
Fractional coordinates of all 5 atoms:
Sr 0.000 0.500 0.000
Sr 0.500 0.000 0.000
Ge 0.000 0.000 0.000
Se 0.500 0.500 0.500
N 0.000 0.000 0.500

---

# Nd3Ho2Er8

A relaxed Nd3Ho2Er8 crystal (PBE, Alexandria via LeMat-Bulk).

## Properties
Space group ... P-1 (2)
DOS(E_F) ... 19.2 states/eV per cell
ΔH_f (0 K) ... 0.0242 eV per atom
E_tot ... -59.6 eV/f.u.
ΔE to the lowest computed polymorph ... 0.0000 eV/atom

a = 6.149 Å, b = 6.150 Å, c = 11.211 Å
α = 89.95°, β = 79.49°, γ = 80.45°
Fractional coordinates of all 13 atoms:
Nd 0.000 0.000 0.000
Nd 0.231 0.462 0.079
Nd 0.769 0.538 0.921
Ho 0.385 0.769 0.463
Ho 0.615 0.231 0.537
Er 0.077 0.152 0.689
Er 0.154 0.308 0.387
Er 0.308 0.613 0.765
Er 0.463 0.925 0.158
Er 0.537 0.075 0.842
Er 0.692 0.387 0.235
Er 0.846 0.692 0.613
Er 0.923 0.848 0.311

---

# NdY2Pt

A relaxed NdY2Pt crystal (PBE, Alexandria via LeMat-Bulk).

## Properties
Space group ... P4/mmm (123)
DOS(E_F) ... 4.1 states/eV per cell
ΔH_f (0 K) ... -0.5933 eV per atom
E_tot ... -26.1 eV/f.u.
ΔE to the lowest computed polymorph ... 0.0874 eV/atom

a = 3.569 Å, b = 3.569 Å, c = 8.740 Å
α = 90.00°, β = 90.00°, γ = 90.00°
Fractional coordinates of all 4 atoms:
Nd 0.000 0.000 0.000
Y 0.500 0.500 0.311
Y 0.500 0.500 0.689
Pt 0.000 0.000 0.500

---

# CaScAl

A relaxed CaScAl crystal (PBE, Alexandria via LeMat-Bulk).

## Properties
Space group ... P3m1 (156)
DOS(E_F) ... 2.8 states/eV per cell
ΔH_f (0 K) ... -0.0150 eV per atom
E_tot ... -12.1 eV/f.u.
ΔE to the lowest computed polymorph ... 0.1671 eV/atom

a = 5.068 Å, b = 5.068 Å, c = 3.382 Å
α = 90.00°, β = 90.00°, γ = 120.00°
Fractional coordinates of all 3 atoms:
Ca 0.000 0.000 0.000
Sc 0.667 0.333 0.415
Al 0.333 0.667 0.629

---

# Li2Ga2Cu15

A relaxed Li2Ga2Cu15 crystal (PBE, Alexandria via LeMat-Bulk).

## Properties
Space group ... R-3m (166)
DOS(E_F) ... 5.9 states/eV per cell
ΔH_f (0 K) ... 0.0430 eV per atom
E_tot ... -70.5 eV/f.u.

a = 6.395 Å, b = 6.395 Å, c = 6.395 Å
α = 82.03°, β = 82.03°, γ = 82.03°
Fractional coordinates of all 19 atoms:
Li 0.100 0.100 0.100
Li 0.900 0.900 0.900
Ga 0.361 0.361 0.361
Ga 0.639 0.639 0.639
Cu 0.000 0.000 0.500
Cu 0.000 0.331 0.669
Cu 0.000 0.500 0.000
Cu 0.000 0.669 0.331
Cu 0.172 0.663 0.663
Cu 0.331 0.000 0.669
Cu 0.331 0.669 0.000
Cu 0.337 0.337 0.828
Cu 0.337 0.828 0.337
Cu 0.500 0.000 0.000
Cu 0.663 0.172 0.663
Cu 0.663 0.663 0.172
Cu 0.669 0.000 0.331
Cu 0.669 0.331 0.000
Cu 0.828 0.337 0.337

---

# PrY2Sn9

A relaxed PrY2Sn9 crystal (PBE, Alexandria via LeMat-Bulk).

## Properties
Space group ... P4/mmm (123)
DOS(E_F) ... 6.1 states/eV per cell
ΔH_f (0 K) ... -0.4546 eV per atom
E_tot ... -59.2 eV/f.u.

a = 4.818 Å, b = 4.818 Å, c = 13.812 Å
α = 90.00°, β = 90.00°, γ = 90.00°
Fractional coordinates of all 12 atoms:
Pr 0.000 0.000 0.000
Y 0.000 0.000 0.335
Y 0.000 0.000 0.665
Sn 0.000 0.500 0.171
Sn 0.000 0.500 0.500
Sn 0.000 0.500 0.829
Sn 0.500 0.000 0.171
Sn 0.500 0.000 0.500
Sn 0.500 0.000 0.829
Sn 0.500 0.500 0.000
Sn 0.500 0.500 0.336
Sn 0.500 0.500 0.664

---

# Er12Pd5Pb3

A relaxed Er12Pd5Pb3 crystal (PBE, Alexandria via LeMat-Bulk).

## Properties
Space group ... Ia-3d (230)
DOS(E_F) ... 65.1 states/eV per cell
ΔH_f (0 K) ... -0.2791 eV per atom
E_tot ... -97.4 eV/f.u.

a = 14.775 Å, b = 14.775 Å, c = 14.775 Å
α = 109.47°, β = 109.47°, γ = 109.47°
Fractional coordinates of all 80 atoms:
Er 0.037 0.209 0.120
Er 0.037 0.328 0.917
Er 0.083 0.620 0.411
Er 0.083 0.963 0.672
Er 0.089 0.709 0.672
Er 0.089 0.880 0.417
Er 0.120 0.037 0.209
Er 0.120 0.583 0.911
Er 0.172 0.209 0.589
Er 0.172 0.463 0.583
Er 0.209 0.120 0.037
Er 0.209 0.589 0.172
Er 0.291 0.328 0.911
Er 0.291 0.463 0.380
Er 0.328 0.911 0.291
Er 0.328 0.917 0.037
Er 0.380 0.291 0.463
Er 0.380 0.589 0.917
Er 0.411 0.083 0.620
Er 0.411 0.828 0.791
Er 0.417 0.089 0.880
Er 0.417 0.828 0.537
Er 0.463 0.380 0.291
Er 0.463 0.583 0.172
Er 0.537 0.417 0.828
Er 0.537 0.620 0.709
Er 0.583 0.172 0.463
Er 0.583 0.911 0.120
Er 0.589 0.172 0.209
Er 0.589 0.917 0.380
Er 0.620 0.411 0.083
Er 0.620 0.709 0.537
Er 0.672 0.083 0.963
Er 0.672 0.089 0.709
Er 0.709 0.537 0.620
Er 0.709 0.672 0.089
Er 0.791 0.411 0.828
Er 0.791 0.880 0.963
Er 0.828 0.537 0.417
Er 0.828 0.791 0.411
Er 0.880 0.417 0.089
Er 0.880 0.963 0.791
Er 0.911 0.120 0.583
Er 0.911 0.291 0.328
Er 0.917 0.037 0.328
Er 0.917 0.380 0.589
Er 0.963 0.672 0.083
Er 0.963 0.791 0.880
Pd 0.000 0.000 0.000
Pd 0.000 0.000 0.500
Pd 0.000 0.500 0.000
Pd 0.000 0.500 0.500
Pd 0.125 0.750 0.875
Pd 0.125 0.875 0.250
Pd 0.250 0.125 0.875
Pd 0.250 0.625 0.375
Pd 0.375 0.250 0.625
Pd 0.375 0.625 0.750
Pd 0.500 0.000 0.000
Pd 0.500 0.000 0.500
Pd 0.500 0.500 0.000
Pd 0.500 0.500 0.500
Pd 0.625 0.375 0.250
Pd 0.625 0.750 0.375
Pd 0.750 0.375 0.625
Pd 0.750 0.875 0.125
Pd 0.875 0.125 0.750
Pd 0.875 0.250 0.125
Pb 0.125 0.250 0.375
Pb 0.125 0.375 0.750
Pb 0.250 0.375 0.125
Pb 0.250 0.875 0.625
Pb 0.375 0.125 0.250
Pb 0.375 0.750 0.125
Pb 0.625 0.250 0.875
Pb 0.625 0.875 0.750
Pb 0.750 0.125 0.375
Pb 0.750 0.625 0.875
Pb 0.875 0.625 0.250
Pb 0.875 0.750 0.625

---

# Cr3InGa

A relaxed Cr3InGa crystal (PBE, Alexandria via LeMat-Bulk).

## Properties
Space group ... Pm-3m (221)
DOS(E_F) ... 3.9 states/eV per cell
ΔH_f (0 K) ... 1.4956 eV per atom
E_tot ... -27.2 eV/f.u.
ΔE to the lowest computed polymorph ... 0.5124 eV/atom

a = 5.184 Å, b = 5.184 Å, c = 5.184 Å
α = 90.00°, β = 90.00°, γ = 90.00°
Fractional coordinates of all 5 atoms:
Cr 0.000 0.000 0.500
Cr 0.000 0.500 0.000
Cr 0.500 0.000 0.000
In 0.000 0.000 0.000
Ga 0.500 0.500 0.500

---

# YMg2Cu2

A relaxed YMg2Cu2 crystal (PBE, Alexandria via LeMat-Bulk).

## Properties
Space group ... Cmc2_1 (36)
DOS(E_F) ... 6.1 states/eV per cell
ΔH_f (0 K) ... -0.1385 eV per atom
E_tot ... -18.5 eV/f.u.
ΔE to the lowest computed polymorph ... 0.0143 eV/atom

a = 6.694 Å, b = 6.694 Å, c = 8.282 Å
α = 90.00°, β = 90.00°, γ = 147.30°
Fractional coordinates of all 10 atoms:
Y 0.086 0.914 0.500
Y 0.914 0.086 0.000
Mg 0.193 0.807 0.115
Mg 0.380 0.620 0.354
Mg 0.620 0.380 0.854
Mg 0.807 0.193 0.615
Cu 0.273 0.727 0.828
Cu 0.446 0.554 0.689
Cu 0.554 0.446 0.189
Cu 0.727 0.273 0.328

---

# CsNbHg

A relaxed CsNbHg crystal (PBE, Alexandria via LeMat-Bulk).

## Properties
Space group ... Cmcm (63)
DOS(E_F) ... 3.9 states/eV per cell
ΔH_f (0 K) ... 0.5297 eV per atom
E_tot ... -9.6 eV/f.u.
ΔE to the lowest computed polymorph ... 0.0000 eV/atom

a = 7.929 Å, b = 7.929 Å, c = 5.225 Å
α = 90.00°, β = 90.00°, γ = 142.04°
Fractional coordinates of all 6 atoms:
Cs 0.211 0.789 0.750
Cs 0.789 0.211 0.250
Nb 0.500 0.500 0.000
Nb 0.500 0.500 0.500
Hg 0.048 0.952 0.250
Hg 0.952 0.048 0.750

---

# NaPdAuSCl

A relaxed NaPdAuSCl crystal (PBE, Alexandria via LeMat-Bulk).

## Properties
Space group ... Pm (6)
DOS(E_F) ... 1.7 states/eV per cell
E_tot ... -18.4 eV/f.u.
ΔE_f (raw) ... -0.53 eV per atom
ΔE to the lowest computed polymorph ... 0.0809 eV/atom

a = 4.562 Å, b = 5.430 Å, c = 4.632 Å
α = 90.00°, β = 109.78°, γ = 90.00°
Fractional coordinates of all 5 atoms:
Na 0.000 0.000 0.000
Pd 0.340 0.500 0.645
Au 0.720 0.500 0.273
S 0.161 0.500 0.088
Cl 0.370 0.000 0.641

---

# MgCo3C

A relaxed MgCo3C crystal (PBE, Alexandria via LeMat-Bulk).

## Properties
Space group ... Pm-3m (221)
DOS(E_F) ... 7.6 states/eV per cell
ΔH_f (0 K) ... 2.7252 eV per atom
E_tot ... -18.5 eV/f.u.
ΔE to the lowest computed polymorph ... 2.7926 eV/atom

a = 4.331 Å, b = 4.331 Å, c = 4.331 Å
α = 90.00°, β = 90.00°, γ = 90.00°
Fractional coordinates of all 5 atoms:
Mg 0.000 0.000 0.000
Co 0.000 0.000 0.500
Co 0.000 0.500 0.000
Co 0.500 0.000 0.000
C 0.500 0.500 0.500

---

# ZrTlB2W

A relaxed ZrTlB2W crystal (PBE, Alexandria via LeMat-Bulk).

## Properties
Space group ... P4/mmm (123)
DOS(E_F) ... 4.6 states/eV per cell
ΔH_f (0 K) ... 1.1052 eV per atom
E_tot ... -31.7 eV/f.u.

a = 4.216 Å, b = 4.216 Å, c = 5.253 Å
α = 90.00°, β = 90.00°, γ = 90.00°
Fractional coordinates of all 5 atoms:
Zr 0.000 0.000 0.000
Tl 0.500 0.500 0.000
B 0.000 0.500 0.500
B 0.500 0.000 0.500
W 0.500 0.500 0.500

---

# CaGa2Hg

A relaxed CaGa2Hg crystal (PBE, Alexandria via LeMat-Bulk).

## Properties
Space group ... P4/mmm (123)
DOS(E_F) ... 2.7 states/eV per cell
ΔH_f (0 K) ... -0.2774 eV per atom
E_tot ... -9.5 eV/f.u.

a = 4.466 Å, b = 4.466 Å, c = 4.464 Å
α = 90.00°, β = 90.00°, γ = 90.00°
Fractional coordinates of all 4 atoms:
Ca 0.000 0.000 0.000
Ga 0.000 0.500 0.500
Ga 0.500 0.000 0.500
Hg 0.500 0.500 0.000

---

# Tb9Sm2Er

A relaxed Tb9Sm2Er crystal (PBE, Alexandria via LeMat-Bulk).

## Properties
Space group ... P4/mmm (123)
DOS(E_F) ... 18.6 states/eV per cell
ΔH_f (0 K) ... 0.0195 eV per atom
E_tot ... -55.4 eV/f.u.
ΔE to the lowest computed polymorph ... 0.0000 eV/atom

a = 5.043 Å, b = 5.043 Å, c = 15.138 Å
α = 90.00°, β = 90.00°, γ = 90.00°
Fractional coordinates of all 12 atoms:
Tb 0.000 0.000 0.000
Tb 0.000 0.000 0.332
Tb 0.000 0.000 0.668
Tb 0.000 0.500 0.165
Tb 0.000 0.500 0.500
Tb 0.000 0.500 0.835
Tb 0.500 0.000 0.165
Tb 0.500 0.000 0.500
Tb 0.500 0.000 0.835
Sm 0.500 0.500 0.332
Sm 0.500 0.500 0.668
Er 0.500 0.500 0.000

---

# SrAg2Os

A relaxed SrAg2Os crystal (PBE, Alexandria via LeMat-Bulk).

## Properties
Space group ... Immm (71)
DOS(E_F) ... 3.2 states/eV per cell
ΔH_f (0 K) ... 0.6010 eV per atom
E_tot ... -16.2 eV/f.u.
ΔE to the lowest computed polymorph ... 0.0000 eV/atom

a = 6.306 Å, b = 6.306 Å, c = 6.306 Å
α = 153.27°, β = 130.59°, γ = 57.06°
Fractional coordinates of all 4 atoms:
Sr 0.000 0.000 0.000
Ag 0.285 0.785 0.500
Ag 0.715 0.215 0.500
Os 0.500 0.500 0.000